Entry from Alexandria: a geometry-optimized CsSrCrF6 structure (PBE with a Hubbard U).

a b c (Å): 7.705 7.705 7.705
angles (deg): 120.42 115.48 93.64
Atoms (fractional coordinates):
Cs 0.352 0.102 0.250
Cs 0.648 0.898 0.750
Sr 0.000 0.500 0.500
Sr 0.500 0.500 0.000
Cr 0.000 0.000 0.500
Cr 0.000 0.500 0.000
F 0.038 0.349 0.144
F 0.038 0.894 0.689
F 0.047 0.297 0.750
F 0.295 0.106 0.644
F 0.295 0.651 0.189
F 0.363 0.613 0.750
F 0.637 0.387 0.250
F 0.705 0.349 0.811
F 0.705 0.894 0.356
F 0.953 0.703 0.250
F 0.962 0.106 0.311
F 0.962 0.651 0.856

SG: No. 74
Total energy: -0.4088 Ry per atom
D(E_F): 0.000 states/eV/f.u.
Total moment: 6.000 μB per cell